Entry 1:
Hg3GeC, single point on PBEsol structure, DFT meta-GGA SCAN; energy relative to the elements = 139.9 kJ per mole of atoms; total DFT energy (no corrections) = -45.287 eV per atom
1.0
5.172 0.000 0.000
0.000 5.172 0.000
0.000 0.000 5.172
Hg Ge C
3 1 1
direct
0.000 0.000 0.500
0.000 0.500 0.000
0.500 0.000 0.000
0.000 0.000 0.000
0.500 0.500 0.500


Entry 2:
Sc2CdP, single point on PBEsol structure, DFT meta-GGA SCAN; energy relative to the elements = -73.4 kJ per mole of atoms; total DFT energy (no corrections) = -18.083 eV per atom
1.0
3.380 0.000 0.000
0.000 3.380 0.000
0.000 0.000 6.497
Sc Cd P
2 1 1
direct
0.000 0.000 0.216
0.000 0.000 0.784
0.500 0.500 0.500
0.500 0.500 0.000


Entry 3:
Ba3CaRh, single point on PBEsol structure, DFT meta-GGA SCAN; energy relative to the elements = -7.8 kJ per mole of atoms; total DFT energy (no corrections) = -32.498 eV per atom
1.0
6.041 0.000 0.000
0.000 6.041 0.000
0.000 0.000 6.041
Ba Ca Rh
3 1 1
direct
0.000 0.000 0.500
0.000 0.500 0.000
0.500 0.000 0.000
0.500 0.500 0.500
0.000 0.000 0.000


Entry 4:
Sr2InBr, single point on PBEsol structure, DFT meta-GGA SCAN; total DFT energy (no corrections) = -25.166 eV per atom; formation energy without anion corrections = -817 meV per atom
1.0
4.603 0.000 0.000
0.000 4.603 0.000
0.000 0.000 13.217
Sr In Br
4 2 2
direct
0.000 0.000 0.000
0.000 0.500 0.250
0.500 0.000 0.750
0.500 0.500 0.500
0.000 0.500 0.750
0.500 0.000 0.250
0.000 0.000 0.500
0.500 0.500 0.000


Entry 5:
Zr2HgAu, single point on PBEsol structure, DFT meta-GGA SCAN; energy relative to the elements = -24.9 kJ per mole of atoms; total DFT energy (no corrections) = -49.939 eV per atom
1.0
3.124 0.000 0.000
-1.562 2.706 0.000
0.000 0.000 28.981
Zr Hg Au
6 3 3
direct
0.000 0.000 0.247
0.000 0.000 0.753
0.333 0.667 0.420
0.333 0.667 0.913
0.667 0.333 0.087
0.667 0.333 0.580
0.000 0.000 0.000
0.333 0.667 0.667
0.667 0.333 0.333
0.000 0.000 0.500
0.333 0.667 0.167
0.667 0.333 0.833


Entry 6:
SiPBr2, single point on PBEsol structure, DFT meta-GGA SCAN; total DFT energy (no corrections) = -14.023 eV per atom; formation energy without anion corrections = 810 meV per atom
1.0
3.396 0.000 0.000
-1.698 2.941 0.000
0.000 0.000 25.259
Si P Br
3 3 6
direct
0.000 0.000 0.000
0.333 0.667 0.667
0.667 0.333 0.333
0.000 0.000 0.500
0.333 0.667 0.167
0.667 0.333 0.833
0.000 0.000 0.259
0.000 0.000 0.741
0.333 0.667 0.408
0.333 0.667 0.926
0.667 0.333 0.074
0.667 0.333 0.592


The magnetization results, record by record, are as follows: 2.64, 0.00, 0.30, 0.00, 0.00, 0.00 μB per formula unit.